1.
Computed, not measured: a geometry-optimized TaCoW structure at the PBE level of DFT.

Properties
ΔE to the lowest computed polymorph (eV per atom): 0.000
Energy of formation from the pure elements (eV/atom): -0.114
Space group: Fddd
D(E_F) (states/eV/cell): 11.43
ρ (g cm⁻³): 15.7

Unit cell a=9.6358 b=9.0067 c=4.8704 alpha=82.14 beta=67.81 gamma=30.05
Positions (direct):
1 Ta 0.0448 0.0448 0.2052
2 Ta 0.2052 0.2052 0.0448
3 Ta 0.7948 0.7948 0.9552
4 Ta 0.9552 0.9552 0.7948
5 Co 0.2515 0.2515 0.4985
6 Co 0.4985 0.4985 0.2515
7 Co 0.5015 0.5015 0.7485
8 Co 0.7485 0.7485 0.5015
9 W 0.2034 0.5466 0.2034
10 W 0.4534 0.7966 0.4534
11 W 0.5466 0.2034 0.5466
12 W 0.7966 0.4534 0.7966

=====

2.
Computed, not measured: a geometry-optimized LiTl3In2Br6 structure at the PBE level of DFT.

Properties
Space group: C2/m
D(E_F) (states/eV/cell): 0.00
Uncorrected formation energy (eV per atom): -0.875
ρ (g cm⁻³): 5.3

Unit cell a=7.9647 b=7.9647 c=7.9741 alpha=99.74 beta=99.74 gamma=118.81
Positions (direct):
1 Li 0.0000 0.0000 0.0000
2 Tl 0.1704 0.8296 0.5000
3 Tl 0.5000 0.5000 0.5000
4 Tl 0.8296 0.1704 0.5000
5 In 0.3333 0.6667 0.0000
6 In 0.6667 0.3333 0.0000
7 Br 0.0697 0.3636 0.2164
8 Br 0.2254 0.2254 0.7503
9 Br 0.3636 0.0697 0.2164
10 Br 0.6364 0.9303 0.7836
11 Br 0.7746 0.7746 0.2497
12 Br 0.9303 0.6364 0.7836

=====

3.
Computed, not measured: a geometry-optimized YScNiRu structure at the PBE level of DFT.

Properties
ΔE to the lowest computed polymorph (eV per atom): 0.000
Energy of formation from the pure elements (eV/atom): -0.464
Space group: P4mm
D(E_F) (states/eV/cell): 1.67
ρ (g cm⁻³): 6.8

Unit cell a=3.3136 b=3.3136 c=6.5621 alpha=90.00 beta=90.00 gamma=90.00
Positions (direct):
1 Y 0.0000 0.0000 0.0000
2 Sc 0.0000 0.0000 0.4962
3 Ni 0.5000 0.5000 0.7277
4 Ru 0.5000 0.5000 0.2707

=====

VASP energy (eV/atom)
-10.75 -2.92 -7.43